Entry 1:
# BaCaPI

BaCaPI after structural relaxation (PBE, Alexandria via LeMat-Bulk).

Output
Total magnetization, μB per formula unit: 0.0
DOS(E_F), states/eV/cell: 0.0
Theoretical density, g cm⁻³: 3.85
Energy relative to the elements, uncorrected, eV/atom: -1.341

Cell: 4.494 4.494 8.668 Å, 90.05 105.01 120.00°
Sites, in units of the cell vectors:
Ba 0.099 0.947 0.062
Ca 0.513 0.154 0.683
P 0.289 0.542 0.846
I 0.977 0.387 0.379

=====

Entry 2:
# ReTeCI2

ReTeCI2 after structural relaxation (PBE, Alexandria via LeMat-Bulk).

Output
Total magnetization, μB per formula unit: 0.0
DOS(E_F), states/eV/cell: 2.9
Theoretical density, g cm⁻³: 9.24
Energy relative to the elements, uncorrected, eV/atom: 2.071

Cell: 4.720 4.720 4.675 Å, 90.00 90.00 90.00°
Sites, in units of the cell vectors:
I 0.000 0.500 0.000
I 0.500 0.000 0.000
Re 0.500 0.500 0.500
C 0.000 0.000 0.000
Te 0.000 0.000 0.500

=====

Entry 3:
# Gd2CuGe2O8

Gd2CuGe2O8 after structural relaxation (PBE, Alexandria via LeMat-Bulk).

Output
Total magnetization, μB per formula unit: 15.0
Theoretical density, g cm⁻³: 6.52
Energy relative to the elements, uncorrected, eV/atom: -2.248

Cell: 9.031 9.031 5.197 Å, 74.26 74.26 114.96°
Sites, in units of the cell vectors:
Gd 0.307 0.548 0.789
Gd 0.548 0.307 0.789
Gd 0.046 0.805 0.328
Gd 0.805 0.046 0.328
Cu 0.923 0.336 0.631
Cu 0.336 0.923 0.631
Ge 0.153 0.153 0.640
Ge 0.893 0.471 0.079
Ge 0.471 0.893 0.079
Ge 0.665 0.665 0.020
O 0.097 0.632 0.068
O 0.632 0.097 0.068
O 0.047 0.234 0.445
O 0.234 0.047 0.445
O 0.494 0.494 0.978
O 0.755 0.273 0.440
O 0.273 0.755 0.440
O 0.755 0.571 0.242
O 0.571 0.755 0.242
O 0.333 0.333 0.654
O 0.831 0.831 0.654
O 0.844 0.500 0.757
O 0.500 0.844 0.757
O 0.997 0.997 0.022
O 0.007 0.349 0.930
O 0.349 0.007 0.930